Density functional theory data (PBE) for an optimized crystal structure of CsBiO2.

Output
Volume   211.10 Å³ per cell
Total magnetic moment   0.000 Bohr magnetons per cell
Total energy   -4.9017 eV per atom
Space group   I-42d, No. 122
D(E_F)   0.00 states/eV per atom
Uncorrected formation energy   -1239 meV per atom

Lattice parameters (Å, degrees): 6.733 6.733 6.733 121.38 121.38 87.63
Fractional coordinates of all 8 atoms:
Cs1 0.000 0.000 0.000
Cs2 0.750 0.250 0.500
Bi1 0.250 0.750 0.500
Bi2 0.500 0.500 0.000
O1 0.230 0.625 0.105
O2 0.375 0.480 0.605
O3 0.520 0.125 0.895
O4 0.875 0.770 0.395

***

Density functional theory data (PBE) for an optimized crystal structure of Cs4BiO4.

Output
Volume   268.98 Å³ per cell
Total magnetic moment   0.987 Bohr magnetons per cell
Total energy   -4.1005 eV per atom
ΔE to the lowest computed polymorph   103 meV/atom
Space group   I4/m, No. 87
D(E_F)   0.18 states/eV per atom
Uncorrected formation energy   -1086 meV per atom

Lattice parameters (Å, degrees): 7.313 7.313 7.313 99.95 99.95 130.87
Fractional coordinates of all 9 atoms:
Cs1 0.120 0.693 0.813
Cs2 0.307 0.120 0.427
Cs3 0.693 0.880 0.573
Cs4 0.880 0.307 0.187
Bi1 0.500 0.500 0.000
O1 0.277 0.429 0.706
O2 0.429 0.723 0.153
O3 0.571 0.277 0.847
O4 0.723 0.571 0.294

***

Density functional theory data (PBE) for an optimized crystal structure of CsBiO2.

Output
Volume   90.26 Å³ per cell
Total magnetic moment   0.000 Bohr magnetons per cell
Total energy   -4.6408 eV per atom
Space group   R-3m, No. 166
D(E_F)   0.08 states/eV per atom
Uncorrected formation energy   -978 meV per atom

Lattice parameters (Å, degrees): 8.020 8.020 8.020 26.46 26.46 26.46
Fractional coordinates of all 4 atoms:
Cs1 0.000 0.000 0.000
Bi1 0.500 0.500 0.500
O1 0.115 0.115 0.115
O2 0.885 0.885 0.885

***

Density functional theory data (PBE) for an optimized crystal structure of CsBiO3.

Output
Volume   82.66 Å³ per cell
Total magnetic moment   0.011 Bohr magnetons per cell
Total energy   -4.8631 eV per atom
Space group   Pm-3m, No. 221
D(E_F)   0.57 states/eV per atom
Uncorrected formation energy   -941 meV per atom

Lattice parameters (Å, degrees): 4.356 4.356 4.356 90.00 90.00 90.00
Fractional coordinates of all 5 atoms:
Cs1 0.000 0.000 0.000
Bi1 0.500 0.500 0.500
O1 0.000 0.500 0.500
O2 0.500 0.000 0.500
O3 0.500 0.500 0.000